Here is Ta2BeMo after structural relaxation from OQMD via LeMat-Bulk. Energies are from PBE-GGA.

Properties
- M_tot: 0.000 μB per atom
- E: -9.3509 eV per atom

Cell lengths 4.4571, 4.4571, 4.4571 Å; angles 60.00, 60.00, 60.00 degrees
Closest atoms and distances in Å follow each position.
Fractional coordinates of all 4 atoms:
Ta  0.0000  0.0000  0.0000  4 Mo 2.73, 4 Ta 2.73
Mo  0.2500  0.2500  0.2500  4 Ta 2.73, 4 Be 2.73
Ta  0.7500  0.7500  0.7500  4 Be 2.73, 4 Ta 2.73
Be  0.5000  0.5000  0.5000  4 Ta 2.73, 4 Mo 2.73